1.
! TaAl2Bi (GGA-PBE, optimized geometry); values from VASP
&SYSTEM
  ibrav = 0, nat = 8, ntyp = 3
/
ATOMIC_SPECIES
Ta 180.95 Ta.upf
Al 26.98 Al.upf
Bi 208.98 Bi.upf
CELL_PARAMETERS angstrom
-3.946 3.946 2.861
3.946 -3.946 2.861
3.946 3.946 -2.861
ATOMIC_POSITIONS crystal
Ta 0.000 0.000 0.000
Ta 0.750 0.250 0.500
Al 0.099 0.625 0.974
Al 0.375 0.349 0.474
Al 0.651 0.125 0.026
Al 0.875 0.901 0.526
Bi 0.250 0.750 0.500
Bi 0.500 0.500 0.000
! energy relative to the elements = 60.4 kJ/mol of atoms
! space-group type = I-42d, No. 122


2.
! CaYSi2 (GGA-PBE, optimized geometry); values from VASP
&SYSTEM
  ibrav = 0, nat = 8, ntyp = 3
/
ATOMIC_SPECIES
Ca 40.08 Ca.upf
Y 88.91 Y.upf
Si 28.09 Si.upf
CELL_PARAMETERS angstrom
-3.898 3.898 3.204
3.898 -3.898 3.204
3.898 3.898 -3.204
ATOMIC_POSITIONS crystal
Ca 0.000 0.000 0.000
Ca 0.750 0.250 0.500
Y 0.250 0.750 0.500
Y 0.500 0.500 0.000
Si 0.128 0.625 0.003
Si 0.375 0.378 0.503
Si 0.622 0.125 0.997
Si 0.875 0.872 0.497
! E above lowest polymorph = 604 meV per atom
! formation energy without anion corrections = -0.2 eV/f.u.
! space-group type = I-42d, No. 122


3.
! Sc2InGe2Rh5 (GGA-PBE, optimized geometry); values from VASP
&SYSTEM
  ibrav = 0, nat = 20, ntyp = 4
/
ATOMIC_SPECIES
Sc 44.96 Sc.upf
In 114.82 In.upf
Ge 72.64 Ge.upf
Rh 102.91 Rh.upf
CELL_PARAMETERS angstrom
9.574 0.000 0.000
0.000 9.574 0.000
0.000 0.000 3.603
ATOMIC_POSITIONS crystal
Sc 0.173 0.327 0.000
Sc 0.327 0.827 0.000
Sc 0.673 0.173 0.000
Sc 0.827 0.673 0.000
In 0.000 0.000 0.000
In 0.500 0.500 0.000
Ge 0.125 0.625 0.000
Ge 0.375 0.125 0.000
Ge 0.625 0.875 0.000
Ge 0.875 0.375 0.000
Rh 0.000 0.500 0.500
Rh 0.072 0.791 0.500
Rh 0.209 0.072 0.500
Rh 0.291 0.572 0.500
Rh 0.428 0.291 0.500
Rh 0.500 0.000 0.500
Rh 0.572 0.709 0.500
Rh 0.709 0.428 0.500
Rh 0.791 0.928 0.500
Rh 0.928 0.209 0.500
! energy relative to the elements = -73.8 kJ/mol of atoms
! space-group type = P4/mbm, No. 127


4.
! Pr2AgPd (GGA-PBE, optimized geometry); values from VASP
&SYSTEM
  ibrav = 0, nat = 8, ntyp = 3
/
ATOMIC_SPECIES
Pr 140.91 Pr.upf
Ag 107.87 Ag.upf
Pd 106.42 Pd.upf
CELL_PARAMETERS angstrom
5.939 0.000 0.000
0.000 4.828 0.000
-2.675 0.000 7.408
ATOMIC_POSITIONS crystal
Pr 0.214 0.250 0.433
Pr 0.232 0.250 0.928
Pr 0.768 0.750 0.072
Pr 0.786 0.750 0.567
Ag 0.333 0.750 0.212
Ag 0.667 0.250 0.788
Pd 0.344 0.750 0.708
Pd 0.656 0.250 0.292
! E above lowest polymorph = 0 meV per atom
! energy relative to the elements = -48.8 kJ/mol of atoms
! space-group type = P2_1/m, No. 11


5.
! AcPm2DyS6 (GGA-PBE, optimized geometry); values from VASP
&SYSTEM
  ibrav = 0, nat = 10, ntyp = 4
/
ATOMIC_SPECIES
Ac 227.00 Ac.upf
Pm 145.00 Pm.upf
Dy 162.50 Dy.upf
S 32.06 S.upf
CELL_PARAMETERS angstrom
3.597 2.077 6.311
-3.597 2.077 6.311
0.000 -4.153 6.311
ATOMIC_POSITIONS crystal
Ac 0.000 0.000 0.000
Pm 0.283 0.283 0.283
Pm 0.790 0.790 0.790
Dy 0.489 0.489 0.489
S 0.091 0.660 0.417
S 0.198 0.586 0.880
S 0.417 0.091 0.660
S 0.586 0.880 0.198
S 0.660 0.417 0.091
S 0.880 0.198 0.586
! formation energy without anion corrections = -20.5 eV/f.u.
! space-group type = R3, No. 146


6.
! Er3MnP2Rh9 (GGA-PBE, optimized geometry); values from VASP
&SYSTEM
  ibrav = 0, nat = 15, ntyp = 4
/
ATOMIC_SPECIES
Er 167.26 Er.upf
Mn 54.94 Mn.upf
P 30.97 P.upf
Rh 102.91 Rh.upf
CELL_PARAMETERS angstrom
6.009 0.000 0.000
-3.004 5.204 0.000
0.000 0.000 8.609
ATOMIC_POSITIONS crystal
Er 0.000 0.000 0.000
Er 0.333 0.667 0.646
Er 0.667 0.333 0.354
Mn 0.000 0.000 0.500
P 0.333 0.667 0.165
P 0.667 0.333 0.835
Rh 0.000 0.500 0.000
Rh 0.153 0.307 0.291
Rh 0.153 0.847 0.291
Rh 0.307 0.153 0.709
Rh 0.500 0.000 0.000
Rh 0.500 0.500 0.000
Rh 0.693 0.847 0.291
Rh 0.847 0.153 0.709
Rh 0.847 0.693 0.709
! energy relative to the elements = -52.0 kJ/mol of atoms
! space-group type = P-3m1, No. 164


D(E_F) for every record listed, in sequence, given in states/eV/f.u.: 3.0; 2.9; 4.4; 3.3; 0.0; 7.9.